# 1
Here is NaPaBeO4 after structural relaxation from Alexandria via LeMat-Bulk. Energies are from PBE.

Total magnetization (μB per atom): 0.000
Space-group type: Imma
E_tot (eV/atom): -7.547

Lattice parameters (Å, degrees): 5.7333 6.1813 6.1813 69.36 62.37 62.37
With the nearest neighbours (Å) after each atom.
Positions (direct):
O 0.7587 0.7383 0.2383  1 Be 1.77
O 0.2647 0.7383 0.2383  1 Be 1.77
O 0.2465 0.2932 0.2138  1 Be 1.77
O 0.7535 0.7068 0.7862  1 Be 1.77
O 0.7353 0.2617 0.7617  1 Be 1.77
O 0.2413 0.2617 0.7617  1 Be 1.77
O 0.2465 0.7138 0.7932  1 Be 1.77
O 0.7535 0.2862 0.2068  1 Be 1.77
Be 0.6388 0.6112 0.1112  4 O 1.77
Be 0.3612 0.3888 0.8888  4 O 1.77
Na 0.5000 0.0000 0.5000  2 O 2.20
Na 0.0000 0.0000 0.5000  2 O 2.20
Pa 0.0000 0.0000 0.0000  6 O 2.09-2.28
Pa 0.0000 0.5000 0.5000  6 O 2.09-2.28

***

# 2
Here is YCrBi2As after structural relaxation from Alexandria via LeMat-Bulk. Energies are from PBE.

DFT formation energy (meV per atom): 1394
Total magnetization (μB per atom): 0.007
Space-group type: P4/mmm

Lattice parameters (Å, degrees): 5.8281 4.7262 5.8281 90.00 90.00 90.00
With the nearest neighbours (Å) after each atom.
Positions (direct):
Bi 0.0000 0.0000 0.5000  2 Y 2.91
Bi 0.5000 0.0000 0.0000  2 Y 2.91
As 0.5000 0.5000 0.5000  8 Bi 3.75, 4 Cr 4.12
Y 0.0000 0.0000 0.0000  2 Cr 2.36
Cr 0.0000 0.5000 0.0000  2 Y 2.36

***

# 3
Here is DyCuAuO4 after structural relaxation from Alexandria via LeMat-Bulk. Energies are from PBE.

Total magnetization (μB per atom): 0.146
Space-group type: Imma
E_tot (eV/atom): -5.838

Lattice parameters (Å, degrees): 6.2158 7.1199 7.0874 119.85 90.00 115.88
With the nearest neighbours (Å) after each atom.
Positions (direct):
Au 0.5000 0.5000 0.5000  4 O 2.06
Au 0.0000 0.5000 0.5000  4 O 2.06
Dy 0.5000 0.0000 0.0000  6 O 2.27-2.35
Dy 0.5000 0.0000 0.5000  6 O 2.27-2.35
Cu 0.0551 0.1103 0.8051  2 O 1.75
Cu 0.9449 0.8897 0.1949  2 O 1.75
O 0.3126 0.0667 0.7833  1 Cu 1.75
O 0.7540 0.0667 0.7833  1 Cu 1.75
O 0.2460 0.9333 0.2167  1 Cu 1.75
O 0.2848 0.5697 0.7173  2 Au 2.06
O 0.7152 0.4303 0.6476  2 Au 2.06
O 0.6874 0.9333 0.2167  1 Cu 1.75
O 0.7152 0.4303 0.2827  2 Au 2.06
O 0.2848 0.5697 0.3524  2 Au 2.06